[1]
# Rb3GaB | Alexandria | meta-GGA SCAN | PBEsol geometry
data_Rb3GaB
_cell_length_a 6.5749
_cell_length_b 6.5749
_cell_length_c 6.5749
_cell_angle_alpha 90.00
_cell_angle_beta 90.00
_cell_angle_gamma 90.00
_space_group_name_H-M_alt 'P m -3 m'
_space_group_IT_number 221
_space_group_name_Hall '-P 4 2 3'
loop_
_atom_site_label
_atom_site_type_symbol
_atom_site_fract_x
_atom_site_fract_y
_atom_site_fract_z
Rb1 Rb 0.0000 0.0000 0.5000
Ga1 Ga 0.0000 0.0000 0.0000
B1 B 0.5000 0.5000 0.5000
# Energy relative to the elements, eV/atom: 1.194
# Magnetic moment, μB/atom: 0.030
# Theoretical density, g/cm3: 1.97

[2]
# Sc2Tc | Alexandria | meta-GGA SCAN | PBEsol geometry
data_Sc2Tc
_cell_length_a 3.2958
_cell_length_b 13.9879
_cell_length_c 4.9096
_cell_angle_alpha 90.00
_cell_angle_beta 90.00
_cell_angle_gamma 90.00
_space_group_name_H-M_alt 'C m c m'
_space_group_IT_number 63
_space_group_name_Hall '-C 2c 2'
loop_
_atom_site_label
_atom_site_type_symbol
_atom_site_fract_x
_atom_site_fract_y
_atom_site_fract_z
Sc1 Sc 0.0000 0.0716 0.2500
Sc2 Sc 0.0000 0.2187 0.7500
Tc1 Tc 0.0000 0.4240 0.2500
# Relative energy among the computed polymorphs, eV per atom: 0.106
# Energy relative to the elements, eV/atom: -0.143
# Magnetic moment, μB/atom: 0.000
# Theoretical density, g/cm3: 5.51

[3]
# BaYH3 | Alexandria | meta-GGA SCAN | PBEsol geometry
data_BaYH3
_cell_length_a 4.3550
_cell_length_b 4.3550
_cell_length_c 4.3550
_cell_angle_alpha 90.00
_cell_angle_beta 90.00
_cell_angle_gamma 90.00
_space_group_name_H-M_alt 'P m -3 m'
_space_group_IT_number 221
_space_group_name_Hall '-P 4 2 3'
loop_
_atom_site_label
_atom_site_type_symbol
_atom_site_fract_x
_atom_site_fract_y
_atom_site_fract_z
Ba1 Ba 0.0000 0.0000 0.0000
Y1 Y 0.5000 0.5000 0.5000
H1 H 0.0000 0.5000 0.5000
# Magnetic moment, μB/atom: 0.181
# Theoretical density, g/cm3: 4.61
# Total energy, eV per atom: -15.9751

[4]
# InSb2Se4Br | Alexandria | meta-GGA SCAN | PBEsol geometry
data_InSb2Se4Br
_cell_length_a 20.7003
_cell_length_b 3.9964
_cell_length_c 11.8468
_cell_angle_alpha 90.00
_cell_angle_beta 118.89
_cell_angle_gamma 90.00
_space_group_name_H-M_alt 'C 1 2/m 1'
_space_group_IT_number 12
_space_group_name_Hall '-C 2y'
loop_
_atom_site_label
_atom_site_type_symbol
_atom_site_fract_x
_atom_site_fract_y
_atom_site_fract_z
In1 In 0.1614 0.0000 0.4342
Sb1 Sb 0.0500 0.5000 0.7768
Sb2 Sb 0.2056 0.0000 0.1000
Se1 Se 0.0359 0.0000 0.2084
Se2 Se 0.0995 0.5000 0.0283
Se3 Se 0.1776 0.0000 0.8568
Se4 Se 0.2144 0.5000 0.3422
Br1 Br 0.1018 0.5000 0.5293
# Raw formation energy, eV/f.u.: -3.5
# Magnetic moment, μB/atom: 0.000
# Theoretical density, g/cm3: 5.84

[5]
# Ta2H2Ir | Alexandria | meta-GGA SCAN | PBEsol geometry
data_Ta2H2Ir
_cell_length_a 2.8961
_cell_length_b 2.8961
_cell_length_c 12.7578
_cell_angle_alpha 90.00
_cell_angle_beta 90.00
_cell_angle_gamma 90.00
_space_group_name_H-M_alt 'I 4/m m m'
_space_group_IT_number 139
_space_group_name_Hall '-I 4 2'
loop_
_atom_site_label
_atom_site_type_symbol
_atom_site_fract_x
_atom_site_fract_y
_atom_site_fract_z
Ta1 Ta 0.0000 0.0000 0.1469
H1 H 0.0000 0.5000 0.2500
Ir1 Ir 0.0000 0.0000 0.5000
# Magnetic moment, μB/atom: 0.000
# Theoretical density, g/cm3: 17.26
# Total energy, eV per atom: -42.6622

[6]
# ScOsCl2 | Alexandria | meta-GGA SCAN | PBEsol geometry
data_ScOsCl2
_cell_length_a 2.9985
_cell_length_b 2.9985
_cell_length_c 8.1383
_cell_angle_alpha 90.00
_cell_angle_beta 90.00
_cell_angle_gamma 90.00
_space_group_name_H-M_alt 'P 4 m m'
_space_group_IT_number 99
_space_group_name_Hall 'P 4 -2'
loop_
_atom_site_label
_atom_site_type_symbol
_atom_site_fract_x
_atom_site_fract_y
_atom_site_fract_z
Sc1 Sc 0.0000 0.0000 0.0000
Os1 Os 0.5000 0.5000 0.7686
Cl1 Cl 0.0000 0.0000 0.5746
Cl2 Cl 0.5000 0.5000 0.2003
# Relative energy among the computed polymorphs, eV per atom: 0.000
# Raw formation energy, eV/f.u.: -1.9
# Magnetic moment, μB/atom: 0.001
# Theoretical density, g/cm3: 6.95

[7]
# YMgTl2W | Alexandria | meta-GGA SCAN | PBEsol geometry
data_YMgTl2W
_cell_length_a 5.3725
_cell_length_b 5.3725
_cell_length_c 5.2091
_cell_angle_alpha 90.00
_cell_angle_beta 90.00
_cell_angle_gamma 90.00
_space_group_name_H-M_alt 'P 4/m m m'
_space_group_IT_number 123
_space_group_name_Hall '-P 4 2'
loop_
_atom_site_label
_atom_site_type_symbol
_atom_site_fract_x
_atom_site_fract_y
_atom_site_fract_z
Y1 Y 0.0000 0.0000 0.0000
Mg1 Mg 0.5000 0.5000 0.0000
Tl1 Tl 0.0000 0.5000 0.5000
W1 W 0.0000 0.0000 0.5000
# Energy relative to the elements, eV/atom: 0.689
# Magnetic moment, μB/atom: 0.000
# Theoretical density, g/cm3: 7.80

[8]
# ScCd | Alexandria | meta-GGA SCAN | PBEsol geometry
data_ScCd
_cell_length_a 4.2877
_cell_length_b 4.2877
_cell_length_c 9.1592
_cell_angle_alpha 90.00
_cell_angle_beta 90.00
_cell_angle_gamma 90.00
_space_group_name_H-M_alt 'I 41/a m d'
_space_group_IT_number 141
loop_
_space_group_symop_operation_xyz
'x,y,z'
'-x,-y,-z'
'-y+1/4,x+3/4,z+1/4'
'y+1/4,-x+3/4,-z+1/4'
'-x+1/2,-y,z+1/2'
'x+1/2,y,-z+1/2'
'y+1/4,-x+1/4,z+3/4'
'-y+1/4,x+1/4,-z+3/4'
'x,-y,-z'
'-x,y,z'
'-y+1/4,-x+1/4,-z+3/4'
'y+1/4,x+1/4,z+3/4'
'-x+1/2,y,-z+1/2'
'x+1/2,-y,z+1/2'
'y+1/4,x+3/4,-z+1/4'
'-y+1/4,-x+3/4,z+1/4'
'x+1/2,y+1/2,z+1/2'
'-x+1/2,-y+1/2,-z+1/2'
'-y+3/4,x+1/4,z+3/4'
'y+3/4,-x+1/4,-z+3/4'
'-x,-y+1/2,z'
'x,y+1/2,-z'
'y+3/4,-x+3/4,z+1/4'
'-y+3/4,x+3/4,-z+1/4'
'x+1/2,-y+1/2,-z+1/2'
'-x+1/2,y+1/2,z+1/2'
'-y+3/4,-x+3/4,-z+1/4'
'y+3/4,x+3/4,z+1/4'
'-x,y+1/2,-z'
'x,-y+1/2,z'
'y+3/4,x+1/4,-z+3/4'
'-y+3/4,-x+1/4,z+3/4'
loop_
_atom_site_label
_atom_site_type_symbol
_atom_site_fract_x
_atom_site_fract_y
_atom_site_fract_z
Sc1 Sc 0.0000 0.2500 0.3750
Cd1 Cd 0.0000 0.2500 0.8750
# Energy relative to the elements, eV/atom: -0.216
# Magnetic moment, μB/atom: 0.000
# Theoretical density, g/cm3: 6.21